VASP calculation (PBE-GGA) on a geometry-optimized AcThAl2Au5 structure.

```
AcThAl2Au5
1.0
4.9184 0.0000 0.0000
0.0000 4.9184 0.0000
0.0000 0.0000 8.4281
Ac Th Al Au
1 1 2 5
Cartesian
0.0000 0.0000 4.2141
0.0000 0.0000 0.0000
2.4592 2.4592 1.3447
2.4592 2.4592 7.0835
0.0000 2.4592 2.0467
2.4592 0.0000 2.0467
0.0000 2.4592 6.3815
2.4592 0.0000 6.3815
2.4592 2.4592 4.2141
```

Calculated values
The theoretical density is 12.2 g cm⁻³. The final energy is -40.4 eV per formula unit. As for the crystal system: tetragonal. The symmetry is P4/mmm (123). The calculation puts the density of states at the Fermi level at 5.33 states/eV per cell.

VASP calculation (PBE-GGA) on a geometry-optimized TaCo4B2 structure.

```
TaCo4B2
1.0
3.3821 0.0000 0.0000
0.0000 3.3847 0.0000
0.0000 -1.6923 6.0473
Ta Co B
1 4 2
Cartesian
0.0000 0.0000 0.0000
1.6911 1.6923 3.9224
0.0000 1.6923 2.1238
1.6911 0.0000 2.1250
0.0000 0.0000 3.9236
1.6911 1.6923 0.8889
1.6911 0.0000 5.1585
```

Calculated values
The theoretical density is 10.5 g cm⁻³. The final energy is -55.9 eV per formula unit. As for the crystal system: orthorhombic. The symmetry is Cmmm (65). The calculation puts the density of states at the Fermi level at 7.10 states/eV per cell.

VASP calculation (PBE-GGA) on a geometry-optimized ZrHgW2 structure.

```
ZrHgW2
1.0
5.4198 -0.0114 -0.0057
2.2639 4.9244 0.0057
-3.3902 -3.1630 2.8066
Hg W Zr
1 2 1
Cartesian
1.2826 2.0609 1.4062
7.5328 4.8164 0.0000
3.0842 -0.2640 1.4005
3.9197 2.5062 0.0000
```

Calculated values
The theoretical density is 14.6 g cm⁻³. The final energy is -33.2 eV per formula unit. As for the crystal system: orthorhombic. The symmetry is Imm2 (44). The calculation puts the density of states at the Fermi level at 3.55 states/eV per cell.

VASP calculation (PBE-GGA) on a geometry-optimized CsLaTi3 structure.

```
CsLaTi3
1.0
5.1166 0.0000 0.0000
0.0000 5.1166 0.0000
0.0000 0.0000 5.1166
Cs Ti La
1 3 1
Cartesian
0.0000 0.0000 0.0000
0.0000 2.5583 0.0000
0.0000 0.0000 2.5583
2.5583 0.0000 0.0000
2.5583 2.5583 2.5583
```

Calculated values
The theoretical density is 5.1 g cm⁻³. The final energy is -21.4 eV per formula unit. As for the crystal system: cubic. The symmetry is Pm-3m (221). The calculation puts the density of states at the Fermi level at 4.09 states/eV per cell.

VASP calculation (PBE-GGA) on a geometry-optimized Rb2ErRe3O12 structure.

```
Rb2ErRe3O12
1.0
7.5785 0.1344 0.0954
3.8596 6.5235 0.0954
3.8596 2.2466 6.1252
Rb Er Re O
2 1 3 12
Cartesian
9.4388 5.4941 3.8969
5.8589 3.4103 2.4189
0.0000 0.0000 0.0000
3.7893 0.0672 0.0477
1.9298 3.2617 0.0477
1.9298 1.1233 3.0626
7.0726 4.1168 5.7555
11.9807 6.9738 2.3234
9.8281 8.1963 5.8135
9.3995 2.7953 1.9827
11.9807 4.4982 5.8135
7.0726 6.7929 1.9827
8.2251 4.7877 0.5604
3.3170 1.9307 3.9924
5.4695 0.7082 0.5023
5.8981 6.1092 4.3332
3.3170 4.4062 0.5023
8.2251 2.1116 4.3332
```

Calculated values
The raw formation energy comes out at -1.940 eV per atom. The theoretical density is 6.1 g cm⁻³. As for the crystal system: trigonal. The symmetry is R-3m (166). The calculation puts the density of states at the Fermi level at 5.20 states/eV per cell.

VASP calculation (PBE-GGA) on a geometry-optimized PmNdAs structure.

```
PmNdAs
1.0
4.9775 0.0000 0.0000
2.4887 4.3106 0.0000
2.4887 1.4369 4.0641
As Nd Pm
1 1 1
Cartesian
2.4887 1.4369 1.0160
0.0000 0.0000 0.0000
4.9775 2.8738 2.0321
```

Calculated values
The theoretical density is 6.9 g cm⁻³. The final energy is -16.7 eV per formula unit. As for the crystal system: cubic. The symmetry is F-43m (216). The calculation puts the density of states at the Fermi level at 2.02 states/eV per cell.

VASP calculation (PBE-GGA) on a geometry-optimized Sm2P4PtRh3 structure.

```
Sm2P4PtRh3
1.0
4.1923 0.0000 0.0000
0.0000 4.1923 0.0000
0.0000 0.0000 9.5109
Sm P Pt Rh
2 4 1 3
Cartesian
2.0962 0.0000 2.2953
0.0000 2.0962 7.2156
2.0962 2.0962 0.0000
0.0000 0.0000 0.0000
2.0962 0.0000 6.0981
0.0000 2.0962 3.4127
2.0962 2.0962 4.7554
0.0000 0.0000 4.7554
2.0962 0.0000 8.4515
0.0000 2.0962 1.0594
```

Calculated values
The theoretical density is 9.2 g cm⁻³. The final energy is -69.8 eV per formula unit. As for the crystal system: tetragonal. The symmetry is P-4m2 (115). The calculation puts the density of states at the Fermi level at 6.03 states/eV per cell.

VASP calculation (PBE-GGA) on a geometry-optimized CaIrPb3 structure.

```
CaIrPb3
1.0
5.3793 0.0000 0.0000
0.0000 5.3793 0.0000
0.0000 0.0000 5.3793
Pb Ca Ir
3 1 1
Cartesian
0.0000 2.6896 0.0000
0.0000 0.0000 2.6896
2.6896 0.0000 0.0000
2.6896 2.6896 2.6896
0.0000 0.0000 0.0000
```

Calculated values
The theoretical density is 9.1 g cm⁻³. The final energy is -21.2 eV per formula unit. As for the crystal system: cubic. The symmetry is Pm-3m (221). The calculation puts the density of states at the Fermi level at 4.06 states/eV per cell.

VASP calculation (PBE-GGA) on a geometry-optimized SiIrSe2N structure.

```
SiIrSe2N
1.0
-2.7172 2.4102 -3.6290
1.8583 -3.2272 -3.5347
-2.8054 -2.2671 0.5949
Si Ir Se N
1 1 2 1
Cartesian
-1.8322 -1.5420 -3.2844
0.0000 0.0000 0.0000
0.9292 -1.6136 -1.7674
-1.3586 1.2051 -1.8145
-1.4027 -1.1335 0.2975
```

Calculated values
The raw formation energy comes out at 0.551 eV per atom. The theoretical density is 6.8 g cm⁻³. As for the crystal system: tetragonal. The symmetry is P4/mmm (123). The calculation puts the density of states at the Fermi level at 3.03 states/eV per cell.

VASP calculation (PBE-GGA) on a geometry-optimized K2MgCuSb2 structure.

```
K2MgCuSb2
1.0
-0.3491 -3.1604 5.6475
-5.2281 -3.3521 -2.1990
7.8977 -2.7239 -4.7550
K Mg Cu Sb
4 2 2 4
Cartesian
1.6959 -2.8458 0.3060
0.6246 -6.3906 -1.6125
3.4193 -3.0785 -3.4366
-1.0988 -6.1579 2.1301
-3.9210 -2.5141 -1.6493
-1.3070 -0.8380 -0.5498
-4.0956 -4.0943 1.1745
-1.4816 -2.4182 2.2740
0.7225 -3.4317 3.5135
-1.7347 -3.6882 -0.1227
4.0553 -5.5482 -1.1838
1.5980 -5.8047 -4.8200
```

Calculated values
The raw formation energy comes out at -0.352 eV per atom. The theoretical density is 3.8 g cm⁻³. As for the crystal system: orthorhombic. The symmetry is Ibam (72). The calculation puts the density of states at the Fermi level at 5.88 states/eV per cell.

VASP calculation (PBE-GGA) on a geometry-optimized RbPd2SeBr structure.

```
RbPd2SeBr
1.0
5.4087 0.0000 0.0000
0.0000 6.0943 0.0000
0.0000 0.0000 5.4087
Br Se Rb Pd
1 1 1 2
Cartesian
2.7043 3.0471 2.7043
0.0000 3.0471 0.0000
0.0000 0.0000 0.0000
0.0000 0.0000 2.7043
2.7043 0.0000 0.0000
```

Calculated values
The raw formation energy comes out at 1.192 eV per atom. The theoretical density is 4.3 g cm⁻³. As for the crystal system: tetragonal. The symmetry is P4/mmm (123). The calculation puts the density of states at the Fermi level at 2.69 states/eV per cell.

VASP calculation (PBE-GGA) on a geometry-optimized TbSi2Pt7Pb2 structure.

```
TbSi2Pt7Pb2
1.0
4.0056 -0.0036 0.0003
0.0013 4.0056 0.0003
1.9476 1.9453 15.1984
Tb Si Pt Pb
1 2 7 2
Cartesian
0.0000 0.0000 0.0000
3.9511 3.9462 11.6586
2.0034 2.0010 3.5404
2.0034 2.0010 0.0003
1.9843 1.9819 5.8542
3.9701 3.9653 9.3448
4.0068 2.0003 2.2173
2.0052 4.0043 2.2173
3.9493 1.9429 12.9816
1.9477 3.9469 12.9816
3.9871 3.9822 6.3595
1.9674 1.9650 8.8395
```

Calculated values
The raw formation energy comes out at -0.628 eV per atom. The theoretical density is 13.6 g cm⁻³. As for the crystal system: monoclinic. The symmetry is C2/m (12). The calculation puts the density of states at the Fermi level at 4.14 states/eV per cell.

VASP calculation (PBE-GGA) on a geometry-optimized LaY2Zn2Ga2 structure.

```
LaY2Zn2Ga2
1.0
4.4830 0.0000 0.0000
2.2415 3.8824 0.0000
2.2415 1.2941 9.5488
La Y Zn Ga
1 2 2 2
Cartesian
0.0000 0.0000 0.0000
2.2415 1.2941 5.8688
6.7245 3.8824 3.6800
4.4830 2.5883 2.0534
4.4830 2.5883 7.4955
6.7245 3.8824 7.3421
2.2415 1.2941 2.2067
```

Calculated values
The theoretical density is 5.9 g cm⁻³. The final energy is -29.4 eV per formula unit. As for the crystal system: trigonal. The symmetry is R-3m (166). The calculation puts the density of states at the Fermi level at 4.70 states/eV per cell.

VASP calculation (PBE-GGA) on a geometry-optimized SmSc2Tl structure.

```
SmSc2Tl
1.0
4.6307 0.0000 0.0000
0.0000 4.4196 -0.8732
0.0000 -0.1685 10.7121
Sm Sc Tl
2 4 2
Cartesian
1.1577 1.2749 6.3848
3.4731 2.9761 3.4541
3.4731 1.8267 9.1810
1.1577 2.4244 0.6580
1.1577 4.0085 8.6017
3.4731 0.2426 1.2373
3.4731 3.6169 6.6089
1.1577 0.6342 3.2301
```

Calculated values
The theoretical density is 6.8 g cm⁻³. The final energy is -20.5 eV per formula unit. As for the crystal system: monoclinic. The symmetry is P2_1/m (11). The calculation puts the density of states at the Fermi level at 11.65 states/eV per cell.